[1]
Here is a geometry-optimized HfTePN2 structure from Alexandria via LeMat-Bulk. Energies are from PBE.

Structure (POSCAR):
```
HfTePN2
1.0
4.0719 0.0000 0.0000
0.0000 4.0719 0.0000
0.0000 0.0000 6.1663
Hf Te P N
1 1 1 2
Direct
0.0000 0.0000 0.0000
0.0000 0.0000 0.5000
0.5000 0.5000 0.5000
0.0000 0.5000 0.0000
0.5000 0.0000 0.0000
```

Calculated values
Formation energy from raw total energies ... 617 meV per atom
E above lowest polymorph ... 0.000 eV/atom

[2]
Here is a geometry-optimized RbZr2AgSn structure from Alexandria via LeMat-Bulk. Energies are from PBE.

Structure (POSCAR):
```
RbZr2AgSn
1.0
5.0724 0.0000 0.0000
0.0000 5.0724 0.0000
0.0000 0.0000 5.7469
Rb Zr Ag Sn
1 2 1 1
Direct
0.0000 0.0000 0.0000
0.0000 0.5000 0.0000
0.5000 0.0000 0.0000
0.5000 0.5000 0.5000
0.0000 0.0000 0.5000
```

Calculated values
E_form ... 2.014 eV per atom

[3]
Here is a geometry-optimized UBi2O6 structure from Alexandria via LeMat-Bulk. Energies are from PBE.

Structure (POSCAR):
```
UBi2O6
1.0
6.0110 0.0000 0.0000
0.0000 5.2197 0.0000
-6.0078 0.0000 10.1081
U Bi O
2 4 12
Direct
0.0000 0.0000 0.0000
0.0000 0.5000 0.5000
0.2999 0.0009 0.8004
0.2999 0.4991 0.3004
0.7001 0.5009 0.6996
0.7001 0.9991 0.1996
0.0014 0.2221 0.1593
0.0014 0.2779 0.6593
0.2788 0.1929 0.0012
0.2788 0.3071 0.5012
0.3128 0.7236 0.6592
0.3128 0.7764 0.1592
0.6872 0.2236 0.8408
0.6872 0.2764 0.3408
0.7212 0.6929 0.4988
0.7212 0.8071 0.9988
0.9986 0.7221 0.3407
0.9986 0.7779 0.8407
```

Calculated values
Formation energy from raw total energies ... -2068 meV per atom

[4]
Here is a geometry-optimized BeW structure from Alexandria via LeMat-Bulk. Energies are from PBE.

Structure (POSCAR):
```
BeW
1.0
12.8477 0.0000 0.0000
0.0000 2.6404 0.0000
0.0000 0.0000 4.4411
Be W
6 6
Direct
0.0000 0.0778 0.0000
0.1460 0.0137 0.7349
0.3540 0.9863 0.2349
0.5000 0.9222 0.5000
0.6460 0.9863 0.2349
0.8540 0.0137 0.7349
0.0000 0.5933 0.4936
0.1824 0.3858 0.2339
0.3176 0.6142 0.7339
0.5000 0.4067 0.9936
0.6824 0.6142 0.7339
0.8176 0.3858 0.2339
```

Calculated values
E_form ... 0.162 eV per atom
E above lowest polymorph ... 0.389 eV/atom

[5]
Here is a geometry-optimized InHgSe2 structure from Alexandria via LeMat-Bulk. Energies are from PBE.

Structure (POSCAR):
```
InHgSe2
1.0
3.7065 -2.1372 0.0000
3.7065 2.1372 0.0000
-0.5742 0.0000 7.6815
In Hg Se
1 1 2
Direct
0.0000 0.0000 0.0000
0.9902 0.9902 0.6363
0.3450 0.3450 0.1514
0.6452 0.6452 0.5086
```

Calculated values
Formation energy from raw total energies ... -193 meV per atom

[6]
Here is a geometry-optimized RbPdPbO2 structure from Alexandria via LeMat-Bulk. Energies are from PBE.

Structure (POSCAR):
```
RbPdPbO2
1.0
4.5592 0.0000 0.0000
0.0000 4.5592 0.0000
0.0000 0.0000 5.0570
Rb Pd Pb O
1 1 1 2
Direct
0.0000 0.0000 0.0000
0.5000 0.5000 0.5000
0.5000 0.5000 0.0000
0.0000 0.5000 0.5000
0.5000 0.0000 0.5000
```

Calculated values
Formation energy from raw total energies ... 135 meV per atom

[7]
Here is a geometry-optimized Ac3LaPrY structure from Alexandria via LeMat-Bulk. Energies are from PBE.

Structure (POSCAR):
```
Ac3LaPrY
1.0
8.4912 0.0000 0.0000
0.0000 5.4690 0.0000
-3.4934 0.0000 10.3371
Ac La Pr Y
6 2 2 2
Direct
0.1753 0.2500 0.0478
0.1753 0.7500 0.7927
0.1757 0.2500 0.5400
0.8243 0.7500 0.4600
0.8247 0.2500 0.2073
0.8247 0.7500 0.9522
0.1756 0.7500 0.2942
0.8244 0.2500 0.7058
0.4977 0.7500 0.1292
0.5023 0.2500 0.8708
0.4986 0.2500 0.3794
0.5014 0.7500 0.6206
```

Calculated values
E_form ... 0.032 eV per atom

[8]
Here is a geometry-optimized Sr3YHo2Se6 structure from Alexandria via LeMat-Bulk. Energies are from PBE.

Structure (POSCAR):
```
Sr3YHo2Se6
1.0
3.6376 -6.2930 0.0000
3.6376 6.2930 0.0000
-2.4271 0.0000 7.0395
Sr Y Ho Se
3 1 2 6
Direct
0.0000 0.0000 0.0000
0.3339 0.6661 0.0000
0.6661 0.3339 0.0000
0.5000 0.5000 0.5000
0.1668 0.8332 0.5000
0.8332 0.1668 0.5000
0.0883 0.4235 0.2704
0.2411 0.2411 0.7292
0.4235 0.0883 0.2704
0.5765 0.9117 0.7296
0.7589 0.7589 0.2708
0.9117 0.5765 0.7296
```

Calculated values
Formation energy from raw total energies ... -1877 meV per atom

[9]
Here is a geometry-optimized KHg2Ru structure from Alexandria via LeMat-Bulk. Energies are from PBE.

Structure (POSCAR):
```
KHg2Ru
1.0
3.0960 0.0000 0.0000
0.0000 4.6128 0.0000
-0.0200 0.0000 7.5513
K Hg Ru
1 2 1
Direct
0.0000 0.0000 0.0000
0.4974 0.0000 0.3961
0.4982 0.5000 0.7010
0.9971 0.5000 0.3903
```

Calculated values
E_form ... 0.406 eV per atom
E above lowest polymorph ... 0.025 eV/atom

[10]
Here is a geometry-optimized SmTlPt structure from Alexandria via LeMat-Bulk. Energies are from PBE.

Structure (POSCAR):
```
SmTlPt
1.0
0.0000 3.4114 3.4114
3.4114 0.0000 3.4114
3.4114 3.4114 0.0000
Sm Tl Pt
1 1 1
Direct
0.0000 0.0000 0.0000
0.5000 0.5000 0.5000
0.2500 0.2500 0.2500
```

Calculated values
E_form ... -0.681 eV per atom

[11]
Here is a geometry-optimized BaMoW2 structure from Alexandria via LeMat-Bulk. Energies are from PBE.

Structure (POSCAR):
```
BaMoW2
1.0
0.0000 3.3872 3.3872
3.3872 0.0000 3.3872
3.3872 3.3872 0.0000
Ba Mo W
1 1 2
Direct
0.0000 0.0000 0.0000
0.2500 0.2500 0.2500
0.5000 0.5000 0.5000
0.7500 0.7500 0.7500
```

Calculated values
E_form ... 1.410 eV per atom
E above lowest polymorph ... 0.562 eV/atom

[12]
Here is a geometry-optimized Ta2MoAs structure from Alexandria via LeMat-Bulk. Energies are from PBE.

Structure (POSCAR):
```
Ta2MoAs
1.0
2.8888 0.0000 0.0000
0.0000 4.5401 0.0000
-0.0697 0.0000 5.2593
Ta Mo As
2 1 1
Direct
0.1906 0.0000 0.2440
0.8094 0.0000 0.7560
0.5000 0.5000 0.0000
0.0000 0.5000 0.5000
```

Calculated values
E_form ... 0.018 eV per atom

For each record above, in turn, the calculated magnetization values are 0.67; 0.00; 0.00; 0.00; 0.00; 0.31; 0.00; 0.00; 0.96; 0.00; 0.00; 0.00 μB per formula unit.
For each record above, in turn, the calculated E_tot values are -32.072; -14.850; -134.819; -98.137; -10.781; -19.111; -56.605; -64.100; -9.354; -15.169; -33.022; -39.115 eV/cell.